1.
CsLaBi2N after structural relaxation, computed with PBE.

CIF file:
```
data_CsLaBi2N
_chemical_formula_sum 'Cs1 La1 Bi2 N1'
_space_group_name_H-M_alt 'P 4/m m m'
_space_group_IT_number 123
_space_group_name_Hall '-P 4 2'
_cell_length_a 6.333
_cell_length_b 6.333
_cell_length_c 5.944
_cell_angle_alpha 90.00
_cell_angle_beta 90.00
_cell_angle_gamma 90.00
loop_
_atom_site_label
_atom_site_fract_x
_atom_site_fract_y
_atom_site_fract_z
Cs1 0.000 0.000 0.000
La1 0.000 0.000 0.500
Bi1 0.000 0.500 0.000
N1 0.500 0.500 0.500
```

## Properties
For the energy relative to the elements, uncorrected, the calculation gives 2.031 eV/atom. The total magnetization comes out at 2.73 μB per formula unit. The value obtained for the density is 4.90 g cm⁻³. For the calculated total energy, the calculation gives -2.34 eV per atom.

=====

2.
Cs3LaBi2O8 after structural relaxation, computed with PBE.

CIF file:
```
data_Cs3LaBi2O8
_chemical_formula_sum 'Cs3 La1 Bi2 O8'
_space_group_name_H-M_alt 'P -3 m 1'
_space_group_IT_number 164
_space_group_name_Hall '-P 3 2"'
_cell_length_a 6.6237
_cell_length_b 6.6237
_cell_length_c 8.5703
_cell_angle_alpha 90.00
_cell_angle_beta 90.00
_cell_angle_gamma 120.00
loop_
_atom_site_label
_atom_site_fract_x
_atom_site_fract_y
_atom_site_fract_z
Cs1 0.0000 0.0000 0.0000
Cs2 0.3333 0.6667 0.6845
La1 0.0000 0.0000 0.5000
Bi1 0.3333 0.6667 0.2407
O1 0.1684 0.3368 0.3344
O2 0.3333 0.6667 0.0077
```

## Properties
For the energy relative to the elements, uncorrected, the calculation gives -1.535 eV/atom. The total magnetization comes out at 0.12 μB per formula unit. The value obtained for the density is 5.53 g cm⁻³. For the calculated total energy, the calculation gives -5.46 eV per atom.

=====

Question: Among the records above, which one has the lowest calculated total energy?
Answer: Cs3LaBi2O8

=====

Question: What is the formula in the first record?
Answer: CsLaBi2N